(1)
Ac2Nd5YEr | PBE | optimized geometry

abc: 5.631 11.703 10.448
angles: 90.00 90.00 103.92
Fractional coordinates of all 18 atoms:
Ac  0.884  0.767  0.770
Ac  0.116  0.233  0.746
Ac  0.116  0.233  0.270
Ac  0.884  0.767  0.246
Nd  0.378  0.757  0.008
Nd  0.722  0.443  0.819
Nd  0.500  0.000  0.758
Nd  0.278  0.557  0.697
Nd  0.998  0.996  0.508
Nd  0.622  0.243  0.508
Nd  0.278  0.557  0.319
Nd  0.500  0.000  0.258
Nd  0.722  0.443  0.197
Nd  0.002  0.004  0.008
Y  0.603  0.205  0.008
Y  0.397  0.795  0.508
Er  0.781  0.563  0.508
Er  0.219  0.437  0.008

(2)
AcNd6YEr2 | PBE | optimized geometry

abc: 9.789 9.063 9.063
angles: 117.56 93.13 93.13
Fractional coordinates of all 20 atoms:
Ac  0.250  0.972  0.028
Ac  0.750  0.028  0.972
Nd  0.054  0.121  0.754
Nd  0.446  0.246  0.879
Nd  0.946  0.879  0.246
Nd  0.554  0.754  0.121
Nd  0.318  0.990  0.445
Nd  0.182  0.555  0.010
Nd  0.682  0.010  0.555
Nd  0.818  0.445  0.990
Nd  0.119  0.709  0.490
Nd  0.381  0.510  0.291
Nd  0.881  0.291  0.510
Nd  0.619  0.490  0.709
Y  0.250  0.412  0.588
Y  0.750  0.588  0.412
Er  0.453  0.795  0.687
Er  0.047  0.313  0.205
Er  0.547  0.205  0.313
Er  0.953  0.687  0.795

(3)
AcNd2Y5Er | PBE | optimized geometry

abc: 8.883 8.883 10.042
angles: 116.25 116.25 90.00
Fractional coordinates of all 18 atoms:
Ac  0.250  0.250  0.500
Ac  0.750  0.750  0.500
Nd  0.116  0.384  0.000
Nd  0.616  0.116  0.000
Nd  0.384  0.884  0.000
Nd  0.884  0.616  0.000
Y  0.927  0.427  0.266
Y  0.660  0.160  0.734
Y  0.073  0.573  0.734
Y  0.160  0.073  0.734
Y  0.573  0.660  0.734
Y  0.840  0.927  0.266
Y  0.427  0.340  0.266
Y  0.340  0.840  0.266
Y  0.500  0.500  0.000
Y  0.000  0.000  0.000
Er  0.250  0.750  0.500
Er  0.750  0.250  0.500

(4)
AcNd6Y2Er | PBE | optimized geometry

abc: 9.715 9.058 9.058
angles: 116.37 92.68 92.68
Fractional coordinates of all 20 atoms:
Ac  0.250  0.967  0.033
Ac  0.750  0.033  0.967
Nd  0.056  0.119  0.757
Nd  0.444  0.243  0.881
Nd  0.944  0.881  0.243
Nd  0.556  0.757  0.119
Nd  0.317  0.997  0.449
Nd  0.183  0.551  0.003
Nd  0.683  0.003  0.551
Nd  0.817  0.449  0.997
Nd  0.117  0.708  0.481
Nd  0.383  0.519  0.292
Nd  0.883  0.292  0.519
Nd  0.617  0.481  0.708
Y  0.450  0.791  0.690
Y  0.050  0.310  0.209
Y  0.550  0.209  0.310
Y  0.950  0.690  0.791
Er  0.250  0.412  0.588
Er  0.750  0.588  0.412

no.,calculated volume (Å³ per cell),ΔE_f (eV per atom)
1,668.29,0.116
2,708.87,0.116
3,618.30,0.246
4,711.36,0.121